(1)
Here is Zr2CrPdC after structural relaxation from Alexandria. Energies are from PBE-GGA.

a = 4.5887 Å, b = 4.5887 Å, c = 3.7812 Å
α = 90.00°, β = 90.00°, γ = 90.00°
Element x y z (fractional)
Zr 0.0000 0.5000 0.0000
Zr 0.5000 0.0000 0.0000
Cr 0.0000 0.0000 0.5000
Pd 0.5000 0.5000 0.5000
C 0.0000 0.0000 0.0000

Results
* crystal system: tetragonal
* formation energy: -0.41 eV per atom

(2)
Here is Pm2CrC2 after structural relaxation from Alexandria. Energies are from PBE-GGA.

a = 6.2061 Å, b = 6.2061 Å, c = 6.7806 Å
α = 117.06°, β = 117.06°, γ = 50.36°
Element x y z (fractional)
Pm 0.0380 0.0380 0.2849
Pm 0.3159 0.3159 0.8752
Pm 0.6841 0.6841 0.1248
Pm 0.9620 0.9620 0.7151
Cr 0.3671 0.3671 0.3710
Cr 0.6329 0.6329 0.6290
C 0.1909 0.1909 0.1217
C 0.4938 0.4938 0.7061
C 0.5062 0.5062 0.2939
C 0.8091 0.8091 0.8783

Results
* crystal system: monoclinic
* energy relative to the lowest polymorph listed for this composition: 0 meV per atom
* formation energy: -0.15 eV per atom

(3)
Here is PmCrC2 after structural relaxation from Alexandria. Energies are from PBE-GGA.

a = 5.7451 Å, b = 5.7451 Å, c = 5.7451 Å
α = 32.95°, β = 32.95°, γ = 32.95°
Element x y z (fractional)
Pm 0.0000 0.0000 0.0000
Cr 0.5000 0.5000 0.5000
C 0.2280 0.2280 0.2280
C 0.7720 0.7720 0.7720

Results
* crystal system: trigonal
* formation energy: 0.30 eV per atom

(4)
Here is Pm2CrC4 after structural relaxation from Alexandria. Energies are from PBE-GGA.

a = 6.8323 Å, b = 6.8323 Å, c = 6.8323 Å
α = 110.67°, β = 86.20°, γ = 135.51°
Element x y z (fractional)
Pm 0.1464 0.1581 0.3045
Pm 0.3536 0.6581 0.0117
Pm 0.6464 0.3419 0.9883
Pm 0.8536 0.8419 0.6955
Cr 0.2500 0.7500 0.5000
Cr 0.7500 0.2500 0.5000
C 0.0793 0.6738 0.7531
C 0.1235 0.8403 0.9637
C 0.3765 0.3403 0.7168
C 0.4207 0.1738 0.5945
C 0.5793 0.8262 0.4055
C 0.6235 0.6597 0.2832
C 0.8765 0.1597 0.0363
C 0.9207 0.3262 0.2469

Results
* crystal system: orthorhombic
* formation energy: -0.13 eV per atom

(5)
Here is Pm12Cr3C5 after structural relaxation from Alexandria. Energies are from PBE-GGA.

a = 13.7509 Å, b = 13.7509 Å, c = 13.7509 Å
α = 109.47°, β = 109.47°, γ = 109.47°
Element x y z (fractional)
Pm 0.0281 0.2090 0.1204
Pm 0.0281 0.3191 0.9077
Pm 0.0887 0.7090 0.6809
Pm 0.0887 0.8796 0.4077
Pm 0.0923 0.6204 0.4113
Pm 0.0923 0.9719 0.6809
Pm 0.1204 0.0281 0.2090
Pm 0.1204 0.5923 0.9113
Pm 0.1809 0.2090 0.5887
Pm 0.1809 0.4719 0.5923
Pm 0.2090 0.1204 0.0281
Pm 0.2090 0.5887 0.1809
Pm 0.2910 0.3191 0.9113
Pm 0.2910 0.4719 0.3796
Pm 0.3191 0.9077 0.0281
Pm 0.3191 0.9113 0.2910
Pm 0.3796 0.2910 0.4719
Pm 0.3796 0.5887 0.9077
Pm 0.4077 0.0887 0.8796
Pm 0.4077 0.8191 0.5281
Pm 0.4113 0.0923 0.6204
Pm 0.4113 0.8191 0.7910
Pm 0.4719 0.3796 0.2910
Pm 0.4719 0.5923 0.1809
Pm 0.5281 0.4077 0.8191
Pm 0.5281 0.6204 0.7090
Pm 0.5887 0.1809 0.2090
Pm 0.5887 0.9077 0.3796
Pm 0.5923 0.1809 0.4719
Pm 0.5923 0.9113 0.1204
Pm 0.6204 0.4113 0.0923
Pm 0.6204 0.7090 0.5281
Pm 0.6809 0.0887 0.7090
Pm 0.6809 0.0923 0.9719
Pm 0.7090 0.5281 0.6204
Pm 0.7090 0.6809 0.0887
Pm 0.7910 0.4113 0.8191
Pm 0.7910 0.8796 0.9719
Pm 0.8191 0.5281 0.4077
Pm 0.8191 0.7910 0.4113
Pm 0.8796 0.4077 0.0887
Pm 0.8796 0.9719 0.7910
Pm 0.9077 0.0281 0.3191
Pm 0.9077 0.3796 0.5887
Pm 0.9113 0.1204 0.5923
Pm 0.9113 0.2910 0.3191
Pm 0.9719 0.6809 0.0923
Pm 0.9719 0.7910 0.8796
Cr 0.1250 0.2500 0.3750
Cr 0.1250 0.3750 0.7500
Cr 0.2500 0.3750 0.1250
Cr 0.2500 0.8750 0.6250
Cr 0.3750 0.1250 0.2500
Cr 0.3750 0.7500 0.1250
Cr 0.6250 0.2500 0.8750
Cr 0.6250 0.8750 0.7500
Cr 0.7500 0.1250 0.3750
Cr 0.7500 0.6250 0.8750
Cr 0.8750 0.6250 0.2500
Cr 0.8750 0.7500 0.6250
C 0.0000 0.0000 0.0000
C 0.0000 0.0000 0.5000
C 0.0000 0.5000 0.0000
C 0.0000 0.5000 0.5000
C 0.1250 0.7500 0.8750
C 0.1250 0.8750 0.2500
C 0.2500 0.1250 0.8750
C 0.2500 0.6250 0.3750
C 0.3750 0.2500 0.6250
C 0.3750 0.6250 0.7500
C 0.5000 0.0000 0.0000
C 0.5000 0.0000 0.5000
C 0.5000 0.5000 0.0000
C 0.5000 0.5000 0.5000
C 0.6250 0.3750 0.2500
C 0.6250 0.7500 0.3750
C 0.7500 0.3750 0.6250
C 0.7500 0.8750 0.1250
C 0.8750 0.1250 0.7500
C 0.8750 0.2500 0.1250

Results
* crystal system: cubic
* formation energy: 0.48 eV per atom

(6)
Here is Pm2CrC2 after structural relaxation from Alexandria. Energies are from PBE-GGA.

a = 8.0448 Å, b = 6.3201 Å, c = 6.3456 Å
α = 90.00°, β = 101.28°, γ = 90.00°
Element x y z (fractional)
Pm 0.0742 0.2253 0.0469
Pm 0.0742 0.2747 0.5469
Pm 0.3242 0.6136 0.9098
Pm 0.3242 0.8864 0.4098
Pm 0.6758 0.1136 0.5902
Pm 0.6758 0.3864 0.0902
Pm 0.9258 0.7253 0.4531
Pm 0.9258 0.7747 0.9531
Cr 0.3883 0.0837 0.8585
Cr 0.3883 0.4163 0.3585
Cr 0.6117 0.5837 0.6415
Cr 0.6117 0.9163 0.1415
C 0.1746 0.5517 0.2573
C 0.1746 0.9483 0.7573
C 0.4316 0.1745 0.1661
C 0.4316 0.3255 0.6661
C 0.5684 0.6745 0.3339
C 0.5684 0.8255 0.8339
C 0.8254 0.0517 0.2427
C 0.8254 0.4483 0.7427

Results
* crystal system: monoclinic
* energy relative to the lowest polymorph listed for this composition: 75 meV per atom
* formation energy: -0.07 eV per atom

(7)
Here is PmCr2C2 after structural relaxation from Alexandria. Energies are from PBE-GGA.

a = 6.2113 Å, b = 5.5032 Å, c = 5.4156 Å
α = 69.34°, β = 56.00°, γ = 54.67°
Element x y z (fractional)
Pm 0.1250 0.1250 0.1250
Pm 0.8750 0.8750 0.8750
Cr 0.2406 0.2406 0.5094
Cr 0.4906 0.4906 0.7594
Cr 0.5094 0.5094 0.2406
Cr 0.7594 0.7594 0.4906
C 0.1781 0.5719 0.1781
C 0.4281 0.8219 0.4281
C 0.5719 0.1781 0.5719
C 0.8219 0.4281 0.8219

Results
* crystal system: orthorhombic
* formation energy: -0.15 eV per atom

(8)
Here is PmCr2SiC after structural relaxation from Alexandria. Energies are from PBE-GGA.

a = 6.2012 Å, b = 6.2012 Å, c = 5.3248 Å
α = 90.00°, β = 90.00°, γ = 129.76°
Element x y z (fractional)
Pm 0.2501 0.7499 0.7500
Pm 0.7499 0.2501 0.2500
Cr 0.2356 0.2356 0.0000
Cr 0.2356 0.2356 0.5000
Cr 0.7644 0.7644 0.0000
Cr 0.7644 0.7644 0.5000
Si 0.3733 0.6267 0.2500
Si 0.6267 0.3733 0.7500
C 0.0604 0.9396 0.2500
C 0.9396 0.0604 0.7500

Results
* crystal system: orthorhombic
* formation energy from raw total energies: -0.179 eV per atom

(9)
Here is Pm2Cr2Si2C after structural relaxation from Alexandria. Energies are from PBE-GGA.

a = 6.5912 Å, b = 6.5912 Å, c = 5.4823 Å
α = 105.69°, β = 105.69°, γ = 32.68°
Element x y z (fractional)
Pm 0.1118 0.1118 0.2926
Pm 0.8882 0.8882 0.7074
Cr 0.4048 0.4048 0.2074
Cr 0.5952 0.5952 0.7926
Si 0.2231 0.2231 0.8538
Si 0.7769 0.7769 0.1462
C 0.5000 0.5000 0.0000

Results
* crystal system: monoclinic
* formation energy from raw total energies: -0.261 eV per atom

(10)
Here is PmTa2CrC4 after structural relaxation from Alexandria. Energies are from PBE-GGA.

a = 5.8552 Å, b = 5.8552 Å, c = 10.9958 Å
α = 90.00°, β = 90.00°, γ = 147.92°
Element x y z (fractional)
Pm 0.0987 0.9013 0.7500
Pm 0.9013 0.0987 0.2500
Ta 0.3707 0.6293 0.5421
Ta 0.3707 0.6293 0.9579
Ta 0.6293 0.3707 0.0421
Ta 0.6293 0.3707 0.4579
Cr 0.1679 0.8321 0.2500
Cr 0.8321 0.1679 0.7500
C 0.0000 0.0000 0.0000
C 0.0000 0.0000 0.5000
C 0.2631 0.7369 0.1143
C 0.2631 0.7369 0.3857
C 0.4238 0.5762 0.7500
C 0.5762 0.4238 0.2500
C 0.7369 0.2631 0.6143
C 0.7369 0.2631 0.8857

Results
* crystal system: orthorhombic
* formation energy: -0.33 eV per atom

(11)
Here is Tb2PmCr2C4 after structural relaxation from Alexandria. Energies are from PBE-GGA.

a = 8.1897 Å, b = 8.1897 Å, c = 5.4124 Å
α = 96.35°, β = 96.35°, γ = 24.41°
Element x y z (fractional)
Tb 0.1583 0.1583 0.0789
Tb 0.8417 0.8417 0.9211
Pm 0.0000 0.0000 0.5000
Cr 0.3096 0.3096 0.4475
Cr 0.6904 0.6904 0.5525
C 0.2291 0.2291 0.7014
C 0.4045 0.4045 0.6496
C 0.5955 0.5955 0.3504
C 0.7709 0.7709 0.2986

Results
* crystal system: monoclinic
* formation energy: -0.08 eV per atom

(12)
Here is Pr2Cr2C3 after structural relaxation from Alexandria. Energies are from PBE-GGA.

a = 5.4790 Å, b = 5.4790 Å, c = 5.8472 Å
α = 104.46°, β = 104.46°, γ = 38.12°
Element x y z (fractional)
Pr 0.0989 0.0989 0.3189
Pr 0.9011 0.9011 0.6811
Cr 0.3396 0.3396 0.0967
Cr 0.6604 0.6604 0.9033
C 0.1982 0.1982 0.7953
C 0.5000 0.5000 0.0000
C 0.8018 0.8018 0.2047

Results
* crystal system: monoclinic
* formation energy: -0.17 eV per atom

(13)
Here is Pr2CrC2 after structural relaxation from Alexandria. Energies are from PBE-GGA.

a = 6.3070 Å, b = 6.3070 Å, c = 6.8656 Å
α = 117.49°, β = 117.49°, γ = 50.64°
Element x y z (fractional)
Pr 0.0390 0.0390 0.2881
Pr 0.3151 0.3151 0.8723
Pr 0.6849 0.6849 0.1277
Pr 0.9610 0.9610 0.7119
Cr 0.3684 0.3684 0.3708
Cr 0.6316 0.6316 0.6292
C 0.1928 0.1928 0.1253
C 0.4938 0.4938 0.7034
C 0.5062 0.5062 0.2966
C 0.8072 0.8072 0.8747

Results
* crystal system: monoclinic
* formation energy: -0.08 eV per atom

(14)
Here is PrCr2C3 after structural relaxation from Alexandria. Energies are from PBE-GGA.

a = 5.8648 Å, b = 5.8648 Å, c = 4.9184 Å
α = 90.00°, β = 90.00°, γ = 111.78°
Element x y z (fractional)
Pr 0.2078 0.7922 0.7500
Pr 0.7922 0.2078 0.2500
Cr 0.3119 0.3119 0.0000
Cr 0.3119 0.3119 0.5000
Cr 0.6881 0.6881 0.0000
Cr 0.6881 0.6881 0.5000
C 0.0308 0.1873 0.7500
C 0.1873 0.0308 0.2500
C 0.4104 0.5896 0.2500
C 0.5896 0.4104 0.7500
C 0.8127 0.9692 0.7500
C 0.9692 0.8127 0.2500

Results
* crystal system: orthorhombic
* formation energy: 0.06 eV per atom

(15)
Here is PrCrC after structural relaxation from Alexandria. Energies are from PBE-GGA.

a = 3.3657 Å, b = 3.3657 Å, c = 8.9854 Å
α = 90.00°, β = 90.00°, γ = 90.00°
Element x y z (fractional)
Pr 0.2500 0.2500 0.2048
Pr 0.7500 0.7500 0.7952
Cr 0.2500 0.7500 0.5000
Cr 0.7500 0.2500 0.5000
C 0.2500 0.2500 0.6419
C 0.7500 0.7500 0.3581

Results
* crystal system: tetragonal
* formation energy: -0.09 eV per atom

(16)
Here is PrCr2Si2C after structural relaxation from Alexandria. Energies are from PBE-GGA.

a = 4.0034 Å, b = 4.0034 Å, c = 5.4114 Å
α = 90.00°, β = 90.00°, γ = 90.00°
Element x y z (fractional)
Pr 0.0000 0.0000 0.0000
Cr 0.0000 0.5000 0.5000
Cr 0.5000 0.0000 0.5000
Si 0.5000 0.5000 0.2341
Si 0.5000 0.5000 0.7659
C 0.0000 0.0000 0.5000

Results
* crystal system: tetragonal
* formation energy from raw total energies: -0.425 eV per atom

(17)
Here is PrUCrC3 after structural relaxation from Alexandria. Energies are from PBE-GGA.

a = 6.9016 Å, b = 6.9016 Å, c = 7.0921 Å
α = 104.85°, β = 104.85°, γ = 31.93°
Element x y z (fractional)
Pr 0.1399 0.1399 0.0735
Pr 0.8601 0.8601 0.9265
U 0.1503 0.1503 0.5719
U 0.8497 0.8497 0.4281
Cr 0.4952 0.4952 0.2902
Cr 0.5048 0.5048 0.7098
C 0.0048 0.0048 0.2865
C 0.3315 0.3315 0.6265
C 0.3451 0.3451 0.2085
C 0.6549 0.6549 0.7915
C 0.6685 0.6685 0.3735
C 0.9952 0.9952 0.7135

Results
* crystal system: monoclinic
* formation energy: -0.05 eV per atom

(18)
Here is Pr2UCr2C4 after structural relaxation from Alexandria. Energies are from PBE-GGA.

a = 6.8383 Å, b = 6.8383 Å, c = 6.1129 Å
α = 107.77°, β = 107.77°, γ = 29.45°
Element x y z (fractional)
Pr 0.1347 0.1347 0.0408
Pr 0.8653 0.8653 0.9592
U 0.0000 0.0000 0.5000
Cr 0.3168 0.3168 0.5005
Cr 0.6832 0.6832 0.4995
C 0.2141 0.2141 0.6745
C 0.4584 0.4584 0.7206
C 0.5416 0.5416 0.2794
C 0.7859 0.7859 0.3255

Results
* crystal system: monoclinic
* formation energy: -0.03 eV per atom

(19)
Here is PrU2CrC4 after structural relaxation from Alexandria. Energies are from PBE-GGA.

a = 5.9966 Å, b = 5.9966 Å, c = 11.7150 Å
α = 90.00°, β = 90.00°, γ = 145.08°
Element x y z (fractional)
Pr 0.1099 0.8901 0.7500
Pr 0.8901 0.1099 0.2500
U 0.3708 0.6292 0.5482
U 0.3708 0.6292 0.9518
U 0.6292 0.3708 0.0482
U 0.6292 0.3708 0.4518
Cr 0.1548 0.8452 0.2500
Cr 0.8452 0.1548 0.7500
C 0.0000 0.0000 0.0000
C 0.0000 0.0000 0.5000
C 0.2530 0.7470 0.1197
C 0.2530 0.7470 0.3803
C 0.4154 0.5846 0.7500
C 0.5846 0.4154 0.2500
C 0.7470 0.2530 0.6197
C 0.7470 0.2530 0.8803

Results
* crystal system: orthorhombic
* formation energy: -0.06 eV per atom

no.,M_tot (μB per cell),raw total energy (eV per atom)
1,0.0,-8.634
2,0.0,-7.660
3,1.1,-7.907
4,1.6,-8.130
5,0.6,-6.120
6,0.0,-7.585
7,1.3,-8.640
8,0.0,-7.907
9,0.8,-7.235
10,0.0,-9.706
11,0.0,-7.872
12,0.0,-8.243
13,0.5,-7.602
14,0.1,-8.559
15,0.0,-7.970
16,1.5,-7.775
17,0.0,-8.945
18,1.1,-8.580
19,3.0,-9.293